! PBE GeCl2F, optimized geometry; values from VASP
&SYSTEM
  ibrav = 0, nat = 4, ntyp = 3
/
ATOMIC_SPECIES
Ge 72.64 Ge.upf
F 19.00 F.upf
Cl 35.45 Cl.upf
CELL_PARAMETERS angstrom
0.0019 -3.8191 2.4861
-3.8808 -1.5225 1.8406
-1.9642 -3.7773 -1.6247
ATOMIC_POSITIONS angstrom
Ge -2.9216 -4.5594 1.3510
F 0.0000 0.0000 0.0000
Cl -1.4608 -2.2797 0.6755
Cl -4.3823 -6.8391 2.0265
! Formation energy without anion corrections   -1.62 eV/f.u.

***

! PBE Ta2NiRh, optimized geometry; values from VASP
&SYSTEM
  ibrav = 0, nat = 4, ntyp = 3
/
ATOMIC_SPECIES
Ni 58.69 Ni.upf
Rh 102.91 Rh.upf
Ta 180.95 Ta.upf
CELL_PARAMETERS angstrom
-3.2956 1.6003 1.0449
-0.1798 -1.8142 2.2115
2.6024 1.8205 5.4195
ATOMIC_POSITIONS angstrom
Ni -1.0421 0.8018 2.4302
Rh 0.1692 0.8049 6.2457
Ta -0.1650 -1.7954 2.2295
Ta 1.1965 -0.0156 3.7975
! DFT formation energy   -0.3112 eV/atom

***

! PBE Sc2MnP, optimized geometry; values from VASP
&SYSTEM
  ibrav = 0, nat = 4, ntyp = 3
/
ATOMIC_SPECIES
Sc 44.96 Sc.upf
Mn 54.94 Mn.upf
P 30.97 P.upf
CELL_PARAMETERS angstrom
0.0000 3.0843 3.0843
3.0843 0.0000 3.0843
3.0843 3.0843 0.0000
ATOMIC_POSITIONS angstrom
Sc 0.0000 0.0000 0.0000
Sc 4.6265 4.6265 4.6265
Mn 3.0843 3.0843 3.0843
P 1.5422 1.5422 1.5422
! DFT formation energy   -0.2075 eV/atom

***

! PBE In3Pd5Au, optimized geometry; values from VASP
&SYSTEM
  ibrav = 0, nat = 18, ntyp = 3
/
ATOMIC_SPECIES
In 114.82 In.upf
Pd 106.42 Pd.upf
Au 196.97 Au.upf
CELL_PARAMETERS angstrom
5.7119 0.0000 0.0000
0.0000 7.9831 0.0000
0.0000 -3.9915 6.9120
ATOMIC_POSITIONS angstrom
In 4.2839 1.4275 2.4727
In 4.2839 5.4191 4.4392
In 4.2839 5.1273 0.0000
In 1.4280 2.5640 4.4392
In 1.4280 -1.4275 2.4727
In 1.4280 2.8558 0.0000
Pd 0.0000 3.9915 2.3041
Pd 2.8559 0.0000 4.6079
Pd 0.0000 0.0000 4.6079
Pd 2.8559 3.9915 2.3041
Pd 4.2839 2.7487 4.7598
Pd 4.2839 6.7402 2.1522
Pd 4.2839 2.4862 0.0000
Pd 1.4280 1.2429 2.1522
Pd 1.4280 -2.7487 4.7598
Pd 1.4280 5.4969 0.0000
Au 0.0000 0.0000 0.0000
Au 2.8559 0.0000 0.0000
! DFT formation energy   -0.4449 eV/atom

***

! PBE La5Bi2N2, optimized geometry; values from VASP
&SYSTEM
  ibrav = 0, nat = 18, ntyp = 3
/
ATOMIC_SPECIES
La 138.91 La.upf
Bi 208.98 Bi.upf
N 14.01 N.upf
CELL_PARAMETERS angstrom
-2.2548 4.3935 -5.9074
-6.4054 -3.3189 -0.0234
0.9695 5.9056 9.0399
ATOMIC_POSITIONS angstrom
La -6.6356 0.9273 -4.3037
La -4.3792 4.3305 7.4005
La -3.4332 2.5872 -4.2926
La -1.1763 5.9895 7.4129
La -6.6689 4.8700 1.8578
La -1.1419 2.0479 1.2507
La -2.6571 4.9528 3.9895
La -5.1537 1.9651 -0.8809
La -1.8321 7.3126 -1.3861
La -2.7812 1.2621 4.5063
Bi -3.7151 7.0083 1.5764
Bi -4.0986 -0.0918 1.5322
Bi -5.7741 3.1205 4.5608
Bi -2.0395 3.7959 -1.4522
N -0.0624 -0.0323 -0.0002
N -4.3925 0.5049 -2.9657
N -6.1742 3.9272 -0.1976
N -1.6387 2.9896 3.3061
! Formation energy without anion corrections   -9.24 eV/f.u.

***

! PBE Mg2TaCr, optimized geometry; values from VASP
&SYSTEM
  ibrav = 0, nat = 4, ntyp = 3
/
ATOMIC_SPECIES
Cr 52.00 Cr.upf
Mg 24.30 Mg.upf
Ta 180.95 Ta.upf
CELL_PARAMETERS angstrom
4.9961 -0.0367 0.1842
4.1333 2.8069 0.1842
0.8626 0.2618 5.1820
ATOMIC_POSITIONS angstrom
Cr 2.5294 0.7675 1.6383
Mg 9.8794 2.9978 5.4588
Mg 7.4986 2.2754 4.2351
Ta 5.0727 1.5393 2.5436
! DFT formation energy   0.4081 eV/atom

***

Number 1: calculated volume 66.9 Å³/cell. Number 2: calculated volume 61.0 Å³/cell. Number 3: calculated volume 58.7 Å³/cell. Number 4: calculated volume 315.2 Å³/cell. Number 5: calculated volume 526.1 Å³/cell. Number 6: calculated volume 73.0 Å³/cell.